Density functional theory data (SCAN) for TaMo3 at its PBEsol-relaxed geometry.

a b c (Å): 3.153 3.153 12.739
angles (deg): 90.00 90.00 90.00
Sites, in units of the cell vectors:
Mo 0.000 0.500 0.196
Mo 0.000 0.500 0.684
Mo 0.500 0.000 0.804
Mo 0.000 0.500 0.440
Mo 0.500 0.000 0.560
Ta 0.000 0.500 0.932
Ta 0.500 0.000 0.068
Mo 0.500 0.000 0.316

Output
Final energy: -343.15 eV for the cell shown
Space-group type: P4/nmm